# GGA-PBEsol ScTaCl, relaxed
data_ScTaCl
_chemical_formula_sum 'Sc1 Ta1 Cl1'
_space_group_name_H-M_alt 'P 1'
_space_group_IT_number 1
_space_group_name_Hall 'P 1'
_cell_length_a 4.6222
_cell_length_b 4.6222
_cell_length_c 4.6222
_cell_angle_alpha 60.00
_cell_angle_beta 60.00
_cell_angle_gamma 60.00
loop_
_atom_site_label
_atom_site_fract_x
_atom_site_fract_y
_atom_site_fract_z
Sc1 0.2500 0.2500 0.2500
Cl1 0.5000 0.5000 0.5000
Ta1 0.0000 0.0000 0.0000
# * N(E_F): 1.2387 states/eV/atom
# * formation energy without anion corrections: 1.219 eV/atom
# * theoretical density: 6.22 g cm⁻³
# * DFT total energy: -17.51 eV per cell